No. 1
ScCdAg, relaxed, DFT PBE; total energy = -3.403 eV per atom; total magnetic moment = 0.00 Bohr magnetons per cell; ρ = 6.22 g/cm³; formation enthalpy at 0 K = -0.0372 eV per atom
1.0
0.000 3.284 3.284
3.284 0.000 3.284
3.284 3.284 0.000
Sc Cd Ag
1 1 1
Direct
0.000 0.000 0.000
0.500 0.500 0.500
0.250 0.250 0.250



No. 2
ScCd6Ag3, relaxed, DFT PBE; E above lowest polymorph = 0 meV/atom; total energy = -2.130 eV per atom; total magnetic moment = 0.00 Bohr magnetons per cell; ρ = 8.46 g/cm³; formation enthalpy at 0 K = -0.0928 eV per atom
1.0
9.414 0.000 0.000
0.000 4.537 0.000
-0.324 0.000 9.587
Sc Cd Ag
2 12 6
Direct
0.059 0.250 0.395
0.941 0.750 0.605
0.056 0.750 0.909
0.149 0.250 0.711
0.169 0.750 0.208
0.256 0.750 0.515
0.378 0.250 0.308
0.470 0.750 0.103
0.530 0.250 0.897
0.622 0.750 0.692
0.744 0.250 0.485
0.831 0.250 0.792
0.851 0.750 0.289
0.944 0.250 0.091
0.248 0.250 0.023
0.341 0.750 0.816
0.441 0.250 0.601
0.559 0.750 0.399
0.659 0.250 0.184
0.752 0.750 0.977



No. 3
ScCd5Ag3, relaxed, DFT PBE; E above lowest polymorph = 0 meV/atom; total energy = -2.241 eV per atom; total magnetic moment = 0.53 Bohr magnetons per cell; ρ = 8.35 g/cm³; formation enthalpy at 0 K = -0.0783 eV per atom
1.0
8.513 0.000 0.000
-4.257 7.373 0.000
0.000 0.000 5.901
Sc Cd Ag
2 10 6
Direct
0.000 0.000 0.000
0.000 0.000 0.500
0.000 0.327 0.250
0.000 0.673 0.750
0.327 0.000 0.250
0.327 0.327 0.750
0.333 0.667 0.000
0.333 0.667 0.500
0.667 0.333 0.000
0.667 0.333 0.500
0.673 0.000 0.750
0.673 0.673 0.250
0.000 0.336 0.750
0.000 0.664 0.250
0.336 0.000 0.750
0.336 0.336 0.250
0.664 0.000 0.250
0.664 0.664 0.750



No. 4
ScCd2Ag, relaxed, DFT PBE; total energy = -2.836 eV per atom; total magnetic moment = 0.00 Bohr magnetons per cell; ρ = 7.37 g/cm³; formation enthalpy at 0 K = -0.0828 eV per atom
1.0
3.126 -4.356 0.000
3.126 4.356 0.000
0.000 0.000 3.124
Sc Cd Ag
1 2 1
Direct
0.000 0.000 0.000
0.000 0.500 0.500
0.500 0.000 0.500
0.500 0.500 0.000



No. 5
Sc4Cd2Ag3, relaxed, DFT PBE; total energy = -4.182 eV per atom; total magnetic moment = 0.00 Bohr magnetons per cell; ρ = 6.49 g/cm³; formation enthalpy at 0 K = -0.2140 eV per atom
1.0
4.608 -2.310 0.000
4.608 2.310 0.000
-1.887 0.000 8.754
Sc Cd Ag
4 2 3
Direct
0.032 0.032 0.335
0.348 0.348 0.108
0.652 0.652 0.892
0.968 0.968 0.665
0.300 0.300 0.761
0.700 0.700 0.239
0.000 0.000 0.000
0.347 0.347 0.442
0.653 0.653 0.558



No. 6
ScCd2Ag3, relaxed, DFT PBE; E above lowest polymorph = 0 meV/atom; total energy = -2.839 eV per atom; total magnetic moment = 0.00 Bohr magnetons per cell; ρ = 8.15 g/cm³; formation enthalpy at 0 K = -0.0533 eV per atom
1.0
0.000 4.485 9.277
2.904 0.000 9.277
2.904 4.485 0.000
Sc Cd Ag
2 4 6
Direct
0.155 0.155 0.845
0.845 0.845 0.155
0.239 0.761 0.761
0.250 0.250 0.250
0.750 0.750 0.750
0.761 0.239 0.239
0.197 0.637 0.363
0.309 0.309 0.691
0.363 0.803 0.197
0.637 0.197 0.803
0.691 0.691 0.309
0.803 0.363 0.637



No. 7
Sc4CdAg2, relaxed, DFT PBE; total energy = -4.682 eV per atom; total magnetic moment = 0.00 Bohr magnetons per cell; ρ = 5.41 g/cm³; formation enthalpy at 0 K = -0.1188 eV per atom
1.0
2.425 1.400 7.656
-2.425 1.400 7.656
0.000 -2.800 7.656
Sc Cd Ag
4 1 2
Direct
0.112 0.112 0.112
0.368 0.368 0.368
0.632 0.632 0.632
0.888 0.888 0.888
0.500 0.500 0.500
0.243 0.243 0.243
0.757 0.757 0.757



No. 8
Sc2Cd2Ag, relaxed, DFT PBE; E above lowest polymorph = 37 meV/atom; total energy = -3.596 eV per atom; total magnetic moment = 0.00 Bohr magnetons per cell; ρ = 6.33 g/cm³; formation enthalpy at 0 K = -0.1272 eV per atom
1.0
7.512 0.000 0.000
0.000 7.512 0.000
0.000 0.000 3.928
Sc Cd Ag
4 4 2
Direct
0.164 0.336 0.000
0.336 0.836 0.000
0.664 0.164 0.000
0.836 0.664 0.000
0.137 0.637 0.500
0.363 0.137 0.500
0.637 0.863 0.500
0.863 0.363 0.500
0.000 0.000 0.500
0.500 0.500 0.500



No. 9
Sc4CdAg3, relaxed, DFT PBE; total energy = -4.620 eV per atom; total magnetic moment = 0.00 Bohr magnetons per cell; ρ = 6.17 g/cm³; formation enthalpy at 0 K = -0.2710 eV per atom
1.0
3.458 0.000 0.000
0.000 4.897 0.000
0.000 0.000 9.783
Sc Cd Ag
4 1 3
Direct
0.000 0.000 0.000
0.000 0.000 0.500
0.000 0.500 0.244
0.000 0.500 0.756
0.500 0.500 0.500
0.500 0.000 0.253
0.500 0.000 0.747
0.500 0.500 0.000



No. 10
Sc2Cd2Ag, relaxed, DFT PBE; E above lowest polymorph = 39 meV/atom; total energy = -3.594 eV per atom; total magnetic moment = 0.02 Bohr magnetons per cell; ρ = 6.36 g/cm³; formation enthalpy at 0 K = -0.1251 eV per atom
1.0
-3.024 6.796 2.685
3.024 -6.796 2.685
3.024 6.796 -2.685
Sc Cd Ag
4 4 2
Direct
0.181 0.167 0.348
0.319 0.667 0.985
0.681 0.333 0.015
0.819 0.833 0.652
0.098 0.638 0.736
0.402 0.138 0.540
0.598 0.862 0.460
0.902 0.362 0.264
0.250 0.250 0.000
0.750 0.750 0.000



No. 11
ScCd4Ag7, relaxed, DFT PBE; E above lowest polymorph = 162 meV/atom; total energy = -2.424 eV per atom; total magnetic moment = 0.00 Bohr magnetons per cell; ρ = 8.34 g/cm³; formation enthalpy at 0 K = 0.0717 eV per atom
1.0
5.333 -2.569 0.000
5.333 2.569 0.000
-5.261 0.000 9.078
Sc Cd Ag
1 4 7
Direct
0.000 0.000 0.000
0.179 0.179 0.775
0.413 0.413 0.689
0.587 0.587 0.311
0.821 0.821 0.225
0.114 0.114 0.463
0.295 0.295 0.085
0.334 0.334 0.376
0.500 0.500 0.000
0.666 0.666 0.624
0.705 0.705 0.915
0.886 0.886 0.537



No. 12
ScCdAg, relaxed, DFT PBE; total energy = -3.167 eV per atom; total magnetic moment = 0.00 Bohr magnetons per cell; ρ = 5.97 g/cm³; formation enthalpy at 0 K = 0.1986 eV per atom
1.0
0.000 3.329 3.329
3.329 0.000 3.329
3.329 3.329 0.000
Sc Cd Ag
1 1 1
Direct
0.000 0.000 0.000
0.250 0.250 0.250
0.750 0.750 0.750



No. 13
Sc3Cd4Ag, relaxed, DFT PBE; total energy = -3.423 eV per atom; total magnetic moment = 0.00 Bohr magnetons per cell; ρ = 6.72 g/cm³; formation enthalpy at 0 K = -0.2349 eV per atom
1.0
3.502 0.000 0.000
0.000 3.502 0.000
0.000 0.000 13.956
Sc Cd Ag
3 4 1
Direct
0.000 0.000 0.000
0.000 0.000 0.255
0.000 0.000 0.745
0.500 0.500 0.127
0.500 0.500 0.384
0.500 0.500 0.616
0.500 0.500 0.873
0.000 0.000 0.500



No. 14
ScCd7Ag2, relaxed, DFT PBE; total energy = -1.862 eV per atom; total magnetic moment = 0.00 Bohr magnetons per cell; ρ = 7.82 g/cm³; formation enthalpy at 0 K = -0.0180 eV per atom
1.0
4.812 0.000 0.000
-2.406 4.167 0.000
0.000 0.000 11.095
Sc Cd Ag
1 7 2
Direct
0.000 0.000 0.000
0.000 0.000 0.301
0.000 0.000 0.615
0.333 0.667 0.176
0.333 0.667 0.429
0.333 0.667 0.919
0.667 0.333 0.106
0.667 0.333 0.809
0.333 0.667 0.677
0.667 0.333 0.539



No. 15
ScCd3Ag7, relaxed, DFT PBE; total energy = -2.529 eV per atom; total magnetic moment = 0.00 Bohr magnetons per cell; ρ = 8.20 g/cm³; formation enthalpy at 0 K = 0.1107 eV per atom
1.0
4.955 -5.052 0.000
4.955 5.052 0.000
-2.496 0.000 4.601
Sc Cd Ag
1 3 7
Direct
0.000 0.000 0.000
0.267 0.733 0.500
0.500 0.500 0.000
0.733 0.267 0.500
0.000 0.000 0.500
0.086 0.572 0.827
0.318 0.318 0.371
0.428 0.914 0.173
0.572 0.086 0.827
0.682 0.682 0.629
0.914 0.428 0.173



No. 16
ScCd2Ag, relaxed, DFT PBE; total energy = -2.667 eV per atom; total magnetic moment = 0.00 Bohr magnetons per cell; ρ = 6.88 g/cm³; formation enthalpy at 0 K = 0.0864 eV per atom
1.0
-1.521 2.503 5.991
1.521 -2.503 5.991
1.521 2.503 -5.991
Sc Cd Ag
1 2 1
Direct
0.000 0.000 0.000
0.271 0.271 0.000
0.729 0.729 0.000
0.500 0.500 0.000



No. 17
Sc4Cd5Ag, relaxed, DFT PBE; total energy = -3.519 eV per atom; total magnetic moment = 0.02 Bohr magnetons per cell; ρ = 6.55 g/cm³; formation enthalpy at 0 K = -0.2436 eV per atom
1.0
3.516 0.000 0.000
0.000 3.516 0.000
0.000 0.000 17.438
Sc Cd Ag
4 5 1
Direct
0.000 0.000 0.102
0.000 0.000 0.305
0.000 0.000 0.695
0.000 0.000 0.898
0.500 0.500 0.000
0.500 0.500 0.203
0.500 0.500 0.407
0.500 0.500 0.593
0.500 0.500 0.797
0.000 0.000 0.500



No. 18
ScCd3Ag, relaxed, DFT PBE; E above lowest polymorph = 910 meV/atom; total energy = -1.619 eV per atom; total magnetic moment = 0.00 Bohr magnetons per cell; ρ = 4.68 g/cm³; formation enthalpy at 0 K = 0.7667 eV per atom
1.0
5.581 0.000 0.000
0.000 5.581 0.000
0.000 0.000 5.581
Sc Cd Ag
1 3 1
Direct
0.000 0.000 0.000
0.000 0.000 0.500
0.000 0.500 0.000
0.500 0.000 0.000
0.500 0.500 0.500



No. 19
ScCd5Ag4, relaxed, DFT PBE; total energy = -2.331 eV per atom; total magnetic moment = 0.25 Bohr magnetons per cell; ρ = 8.65 g/cm³; formation enthalpy at 0 K = -0.0999 eV per atom
1.0
3.341 0.000 0.000
0.000 3.341 0.000
0.000 0.000 17.870
Sc Cd Ag
1 5 4
Direct
0.000 0.000 0.000
0.500 0.500 0.111
0.500 0.500 0.305
0.500 0.500 0.500
0.500 0.500 0.695
0.500 0.500 0.889
0.000 0.000 0.208
0.000 0.000 0.403
0.000 0.000 0.597
0.000 0.000 0.792



No. 20
ScCdAg, relaxed, DFT PBE; total energy = -3.236 eV per atom; total magnetic moment = 0.00 Bohr magnetons per cell; ρ = 6.08 g/cm³; formation enthalpy at 0 K = 0.1296 eV per atom
1.0
3.181 0.000 0.000
0.000 4.856 0.000
-0.097 0.000 4.689
Sc Cd Ag
1 1 1
Direct
0.000 0.000 0.000
0.000 0.500 0.500
0.500 0.500 0.000



No. 21
Sc3Cd2Ag4, relaxed, DFT PBE; total energy = -3.794 eV per atom; total magnetic moment = 0.00 Bohr magnetons per cell; ρ = 7.34 g/cm³; formation enthalpy at 0 K = -0.2127 eV per atom
1.0
4.181 -2.407 0.000
4.181 2.407 0.000
-0.043 0.000 8.890
Sc Cd Ag
3 2 4
Direct
0.000 0.000 0.000
0.333 0.333 0.412
0.667 0.667 0.588
0.334 0.334 0.766
0.666 0.666 0.234
0.000 0.000 0.340
0.000 0.000 0.660
0.333 0.333 0.088
0.667 0.667 0.912



No. 22
ScCd3Ag6, relaxed, DFT PBE; E above lowest polymorph = 0 meV/atom; total energy = -2.722 eV per atom; total magnetic moment = 0.00 Bohr magnetons per cell; ρ = 8.94 g/cm³; formation enthalpy at 0 K = -0.1036 eV per atom
1.0
8.027 0.000 0.000
0.000 4.892 0.000
-3.757 0.000 9.739
Sc Cd Ag
2 6 12
Direct
0.186 0.250 0.128
0.814 0.750 0.872
0.018 0.750 0.669
0.214 0.750 0.467
0.397 0.250 0.926
0.603 0.750 0.074
0.786 0.250 0.533
0.982 0.250 0.331
0.001 0.750 0.169
0.204 0.250 0.629
0.206 0.750 0.970
0.392 0.250 0.431
0.399 0.750 0.267
0.413 0.750 0.765
0.587 0.250 0.235
0.601 0.250 0.733
0.608 0.750 0.569
0.794 0.250 0.030
0.796 0.750 0.371
0.999 0.250 0.831



No. 23
ScCd2Ag, relaxed, DFT PBE; total energy = -2.785 eV per atom; total magnetic moment = 0.00 Bohr magnetons per cell; ρ = 7.30 g/cm³; formation enthalpy at 0 K = -0.0321 eV per atom
1.0
1.571 0.907 10.044
-1.571 0.907 10.044
0.000 -1.814 10.044
Sc Cd Ag
1 2 1
Direct
0.000 0.000 0.000
0.249 0.249 0.249
0.493 0.493 0.493
0.745 0.745 0.745